# BaInGa2Cl8, relaxed, DFT PBE-GGA
data_BaInGa2Cl8
_cell_length_a 6.814
_cell_length_b 6.814
_cell_length_c 10.303
_cell_angle_alpha 90.00
_cell_angle_beta 90.00
_cell_angle_gamma 120.00
_symmetry_space_group_name_H-M 'P 1'
_symmetry_Int_Tables_number 1
loop_
_symmetry_equiv_pos_as_xyz
'x,y,z'
loop_
_atom_site_label
_atom_site_type_symbol
_atom_site_fract_x
_atom_site_fract_y
_atom_site_fract_z
Ba1 Ba 0.000 0.000 0.500
In1 In 0.000 0.000 0.000
Ga1 Ga 0.667 0.333 0.224
Ga2 Ga 0.333 0.667 0.776
Cl1 Cl 0.333 0.667 0.994
Cl2 Cl 0.342 0.331 0.297
Cl3 Cl 0.669 0.011 0.297
Cl4 Cl 0.667 0.333 0.006
Cl5 Cl 0.331 0.989 0.703
Cl6 Cl 0.658 0.669 0.703
Cl7 Cl 0.011 0.342 0.703
Cl8 Cl 0.989 0.658 0.297
# - ρ (kg/m3) = 2706
# - total magnetization (μB/f.u.) = 0.780
# - D(E_F) (states/eV/f.u.) = 6.88
# - symmetry = P-3, No. 147
# - raw formation energy (meV/atom) = -1254

---

# Ba2InGaCl, relaxed, DFT PBE-GGA
data_Ba2InGaCl
_cell_length_a 6.539
_cell_length_b 4.944
_cell_length_c 6.539
_cell_angle_alpha 90.00
_cell_angle_beta 90.00
_cell_angle_gamma 90.00
_symmetry_space_group_name_H-M 'P 1'
_symmetry_Int_Tables_number 1
loop_
_symmetry_equiv_pos_as_xyz
'x,y,z'
loop_
_atom_site_label
_atom_site_type_symbol
_atom_site_fract_x
_atom_site_fract_y
_atom_site_fract_z
Cl1 Cl 0.500 0.500 0.500
Ba1 Ba 0.000 0.000 0.500
Ba2 Ba 0.500 0.000 0.000
Ga1 Ga 0.000 0.000 0.000
In1 In 0.000 0.500 0.000
# - ρ (kg/m3) = 3885
# - total magnetization (μB/f.u.) = 0.000
# - D(E_F) (states/eV/f.u.) = 2.96
# - symmetry = P4/mmm, No. 123
# - raw formation energy (meV/atom) = -628

---

# Ba2GaIrCl, relaxed, DFT PBE-GGA
data_Ba2GaIrCl
_cell_length_a 6.108
_cell_length_b 6.108
_cell_length_c 4.764
_cell_angle_alpha 90.00
_cell_angle_beta 90.00
_cell_angle_gamma 90.00
_symmetry_space_group_name_H-M 'P 1'
_symmetry_Int_Tables_number 1
loop_
_symmetry_equiv_pos_as_xyz
'x,y,z'
loop_
_atom_site_label
_atom_site_type_symbol
_atom_site_fract_x
_atom_site_fract_y
_atom_site_fract_z
Ir1 Ir 0.000 0.000 0.000
Ba1 Ba 0.000 0.500 0.000
Ba2 Ba 0.500 0.000 0.000
Ga1 Ga 0.000 0.000 0.500
Cl1 Cl 0.500 0.500 0.500
# - ρ (kg/m3) = 5345
# - total magnetization (μB/f.u.) = 0.000
# - D(E_F) (states/eV/f.u.) = 2.47
# - symmetry = P4/mmm, No. 123
# - raw formation energy (meV/atom) = -857

---

# KBa2GaCl, relaxed, DFT PBE-GGA
data_KBa2GaCl
_cell_length_a 7.003
_cell_length_b 5.251
_cell_length_c 7.003
_cell_angle_alpha 90.00
_cell_angle_beta 90.00
_cell_angle_gamma 90.00
_symmetry_space_group_name_H-M 'P 1'
_symmetry_Int_Tables_number 1
loop_
_symmetry_equiv_pos_as_xyz
'x,y,z'
loop_
_atom_site_label
_atom_site_type_symbol
_atom_site_fract_x
_atom_site_fract_y
_atom_site_fract_z
K1 K 0.000 0.000 0.000
Ba1 Ba 0.000 0.000 0.500
Ba2 Ba 0.500 0.000 0.000
Ga1 Ga 0.500 0.500 0.500
Cl1 Cl 0.000 0.500 0.000
# - ρ (kg/m3) = 2701
# - total magnetization (μB/f.u.) = 0.008
# - D(E_F) (states/eV/f.u.) = 10.38
# - symmetry = P4/mmm, No. 123
# - raw formation energy (meV/atom) = -4

---

# BaLiGa2Cl8, relaxed, DFT PBE-GGA
data_BaLiGa2Cl8
_cell_length_a 6.657
_cell_length_b 6.657
_cell_length_c 8.726
_cell_angle_alpha 90.00
_cell_angle_beta 90.00
_cell_angle_gamma 120.00
_symmetry_space_group_name_H-M 'P 1'
_symmetry_Int_Tables_number 1
loop_
_symmetry_equiv_pos_as_xyz
'x,y,z'
loop_
_atom_site_label
_atom_site_type_symbol
_atom_site_fract_x
_atom_site_fract_y
_atom_site_fract_z
Ba1 Ba 0.000 0.000 0.000
Li1 Li 0.000 0.000 0.500
Ga1 Ga 0.667 0.333 0.263
Ga2 Ga 0.333 0.667 0.737
Cl1 Cl 0.333 0.667 0.998
Cl2 Cl 0.304 0.292 0.310
Cl3 Cl 0.708 0.012 0.310
Cl4 Cl 0.667 0.333 0.002
Cl5 Cl 0.292 0.988 0.690
Cl6 Cl 0.696 0.708 0.690
Cl7 Cl 0.012 0.304 0.690
Cl8 Cl 0.988 0.696 0.310
# - ρ (kg/m3) = 2813
# - total magnetization (μB/f.u.) = 0.868
# - D(E_F) (states/eV/f.u.) = 6.02
# - symmetry = P-3, No. 147
# - raw formation energy (meV/atom) = -1414

---

# BaGa2MoCl, relaxed, DFT PBE-GGA
data_BaGa2MoCl
_cell_length_a 5.316
_cell_length_b 5.316
_cell_length_c 5.735
_cell_angle_alpha 90.00
_cell_angle_beta 90.00
_cell_angle_gamma 90.00
_symmetry_space_group_name_H-M 'P 1'
_symmetry_Int_Tables_number 1
loop_
_symmetry_equiv_pos_as_xyz
'x,y,z'
loop_
_atom_site_label
_atom_site_type_symbol
_atom_site_fract_x
_atom_site_fract_y
_atom_site_fract_z
Mo1 Mo 0.500 0.500 0.500
Ba1 Ba 0.000 0.000 0.500
Ga1 Ga 0.000 0.500 0.000
Ga2 Ga 0.500 0.000 0.000
Cl1 Cl 0.000 0.000 0.000
# - ρ (kg/m3) = 4182
# - total magnetization (μB/f.u.) = 3.960
# - D(E_F) (states/eV/f.u.) = 2.58
# - symmetry = P4/mmm, No. 123
# - raw formation energy (meV/atom) = 594

---

# Ba2NaGaCl, relaxed, DFT PBE-GGA
data_Ba2NaGaCl
_cell_length_a 6.450
_cell_length_b 5.491
_cell_length_c 6.450
_cell_angle_alpha 90.00
_cell_angle_beta 90.00
_cell_angle_gamma 90.00
_symmetry_space_group_name_H-M 'P 1'
_symmetry_Int_Tables_number 1
loop_
_symmetry_equiv_pos_as_xyz
'x,y,z'
loop_
_atom_site_label
_atom_site_type_symbol
_atom_site_fract_x
_atom_site_fract_y
_atom_site_fract_z
Na1 Na 0.000 0.500 0.000
Ba1 Ba 0.000 0.000 0.500
Ba2 Ba 0.500 0.000 0.000
Ga1 Ga 0.000 0.000 0.000
Cl1 Cl 0.500 0.500 0.500
# - ρ (kg/m3) = 2928
# - total magnetization (μB/f.u.) = 0.000
# - D(E_F) (states/eV/f.u.) = 3.48
# - symmetry = P4/mmm, No. 123
# - raw formation energy (meV/atom) = -513

---

# BaNaGa2Cl8, relaxed, DFT PBE-GGA
data_BaNaGa2Cl8
_cell_length_a 7.399
_cell_length_b 7.399
_cell_length_c 8.939
_cell_angle_alpha 90.00
_cell_angle_beta 90.00
_cell_angle_gamma 120.00
_symmetry_space_group_name_H-M 'P 1'
_symmetry_Int_Tables_number 1
loop_
_symmetry_equiv_pos_as_xyz
'x,y,z'
loop_
_atom_site_label
_atom_site_type_symbol
_atom_site_fract_x
_atom_site_fract_y
_atom_site_fract_z
Ba1 Ba 0.000 0.000 0.000
Na1 Na 0.000 0.000 0.500
Ga1 Ga 0.667 0.333 0.199
Ga2 Ga 0.333 0.667 0.801
Cl1 Cl 0.333 0.667 0.052
Cl2 Cl 0.319 0.162 0.273
Cl3 Cl 0.838 0.157 0.273
Cl4 Cl 0.667 0.333 0.948
Cl5 Cl 0.162 0.843 0.727
Cl6 Cl 0.681 0.838 0.727
Cl7 Cl 0.157 0.319 0.727
Cl8 Cl 0.843 0.681 0.273
# - ρ (kg/m3) = 2286
# - total magnetization (μB/f.u.) = 0.000
# - D(E_F) (states/eV/f.u.) = 1.99
# - symmetry = P-3, No. 147
# - raw formation energy (meV/atom) = -1444